Entry 1:
DFT (PBE) results for a geometry-optimized SiIr2Pb structure.

Results
formation energy without anion corrections = 0.42 eV per atom
ΔE to the lowest computed polymorph = 2.165 eV per formula unit

Cell: 3.799 3.799 9.345 Å, 90.00 90.00 90.00°
Space group I-4m2 (No. 119)
Symmetry-distinct sites (fractional):
Si (0.000, 0.000, 0.000) (multiplicity 2)
Ir (0.000, 0.000, 0.500) (multiplicity 2)
Ir (0.000, 0.500, 0.750) (multiplicity 2)
Pb (0.000, 0.500, 0.250) (multiplicity 2)


Entry 2:
DFT (PBE) results for a geometry-optimized Li7TlZn3 structure.

Results
formation enthalpy at 0 K = -92 meV/atom

Cell: 2.937 24.378 11.213 Å, 90.00 90.00 90.00°
Space group Cmcm (No. 63)
Symmetry-distinct sites (fractional):
Li (0.000, 0.064, 0.114) (multiplicity 8)
Li (0.000, 0.099, 0.616) (multiplicity 8)
Li (0.000, 0.173, 0.250) (multiplicity 4)
Li (0.000, 0.233, 0.609) (multiplicity 8)
Tl (0.000, 0.482, 0.250) (multiplicity 4)
Zn (0.000, 0.334, 0.250) (multiplicity 4)
Zn (0.000, 0.340, 0.534) (multiplicity 8)


Entry 3:
DFT (PBE) results for a geometry-optimized TlCd2Ga structure.

Results
formation enthalpy at 0 K = 72 meV/atom
ΔE to the lowest computed polymorph = 0.001 eV per formula unit

Cell: 4.542 4.542 4.729 Å, 90.00 90.00 90.00°
Space group P4/mmm (No. 123)
Symmetry-distinct sites (fractional):
Tl (0.000, 0.000, 0.000) (multiplicity 1)
Cd (0.000, 0.500, 0.500) (multiplicity 2)
Ga (0.500, 0.500, 0.000) (multiplicity 1)


Entry 4:
DFT (PBE) results for a geometry-optimized Pr6UO12 structure.

Results
formation energy without anion corrections = -3.38 eV per atom

Cell: 10.4372 10.4372 9.9195 Å, 90.00 90.00 120.00°
Space group R-3 (No. 148, hexagonal axes)
Symmetry-distinct sites (fractional):
Pr (0.0424, 0.2539, 0.1434) (multiplicity 18)
U (0.0000, 0.0000, 0.5000) (multiplicity 3)
O (0.0348, 0.2240, 0.9014) (multiplicity 18)
O (0.0385, 0.1901, 0.3916) (multiplicity 18)


Entry 5:
DFT (PBE) results for a geometry-optimized Th2Zn3Ni12Pd structure.

Results
formation enthalpy at 0 K = -76 meV/atom

Cell: 8.5174 8.5174 12.2780 Å, 90.00 90.00 120.00°
Space group R-3m (No. 166, hexagonal axes)
Symmetry-distinct sites (fractional):
Th (0.0000, 0.0000, 0.1758) (multiplicity 6)
Zn (0.0000, 0.5000, 0.0000) (multiplicity 9)
Ni (0.0065, 0.5032, 0.2039) (multiplicity 18)
Ni (0.0144, 0.5072, 0.6063) (multiplicity 18)
Pd (0.0000, 0.0000, 0.5000) (multiplicity 3)


Entry 6:
DFT (PBE) results for a geometry-optimized KInAs2 structure.

Results
formation enthalpy at 0 K = 209 meV/atom

Cell: 7.428 7.428 7.428 Å, 90.00 90.00 90.00°
Space group F-43m (No. 216)
Symmetry-distinct sites (fractional):
K (0.000, 0.000, 0.000) (multiplicity 4)
In (0.250, 0.250, 0.250) (multiplicity 4)
As (0.000, 0.000, 0.500) (multiplicity 4)
As (0.250, 0.250, 0.750) (multiplicity 4)


Entry 7:
DFT (PBE) results for a geometry-optimized Er4Rh3 structure.

Results
formation enthalpy at 0 K = -835 meV/atom

Cell: 4.7669 4.7669 23.5337 Å, 90.00 90.00 120.00°
Space group R-3m (No. 166, hexagonal axes)
Symmetry-distinct sites (fractional):
Er (0.0000, 0.0000, 0.1242) (multiplicity 6)
Er (0.0000, 0.0000, 0.3749) (multiplicity 6)
Rh (0.0000, 0.0000, 0.2493) (multiplicity 6)
Rh (0.0000, 0.0000, 0.5000) (multiplicity 3)


Entry 8:
DFT (PBE) results for a geometry-optimized HfScIn structure.

Results
formation enthalpy at 0 K = 50 meV/atom
ΔE to the lowest computed polymorph = 0.852 eV per formula unit

Cell: 5.0538 5.0538 3.0005 Å, 90.00 90.00 120.00°
Space group P-6m2 (No. 187)
Symmetry-distinct sites (fractional):
Hf (0.0000, 0.0000, 0.0000) (multiplicity 1)
Sc (0.3333, 0.6667, 0.0000) (multiplicity 1)
In (0.6667, 0.3333, 0.5000) (multiplicity 1)


Number 1: volume 134.9 Å³/cell. Number 2: volume 802.9 Å³/cell. Number 3: volume 97.6 Å³/cell. Number 4: volume 935.8 Å³/cell. Number 5: volume 771.4 Å³/cell. Number 6: volume 409.9 Å³/cell. Number 7: volume 463.1 Å³/cell. Number 8: volume 66.4 Å³/cell.